Below is crystalline RbIn5 at its relaxed geometry, with properties calculated at the PBE-GGA level.

Lattice parameters (Å, degrees): 4.647 6.681 6.619 90.00 90.00 90.00
Fractional positions:
In  0.500  0.500  0.767
In  0.500  0.000  0.500
In  0.000  0.281  0.500
In  0.000  0.719  0.500
In  0.500  0.500  0.233
Rb  0.000  0.000  0.000

Results
- Magnetic moment: 0.0 μB per formula unit
- DFT total energy: -14.7 eV/cell
- Excess energy over the best structure of this formula in the dataset: 12 meV per atom
- Fermi-level density of states: 2.0 states/eV per cell
- Energy of formation from the pure elements: -0.01 eV/atom